(1)
## B2C (PBE)

Data for a relaxed structure of B2C.

Output
Spin magnetization, μB/cell: 0.00
Energy of formation from the pure elements, kJ/mol of formula units: 109

a b c (Å): 13.0721 2.6223 5.1870
angles (deg): 90.00 97.98 90.00
Closest atoms and distances in Å follow each position.
Space group Cm (No. 8)
Asymmetric unit:
B 0.0000 0.0000 0.0000  1 C 1.62
B 0.0121 0.0000 0.5354  3 C 1.67-1.68, 1 B 1.74
B 0.0985 0.5000 0.0568  2 C 1.60-1.62
B 0.2126 0.0000 0.2833  2 C 1.54
B 0.2257 0.0000 0.8972  2 C 1.57, 1 B 1.70
B 0.3271 0.0000 0.1420  5 B 1.70-1.84
B 0.3741 0.0000 0.8231  2 C 1.55
B 0.4109 0.5000 0.2797  3 B 1.74-1.79
C 0.0932 0.5000 0.5586  2 C 1.50
C 0.1601 0.5000 0.3465  1 C 1.50, 3 B 1.54-1.60
C 0.1638 0.5000 0.8132  1 C 1.50, 3 B 1.57-1.62
C 0.4207 0.5000 0.7312  4 B 1.55-1.67

(2)
## EuYMgIr (PBE)

Data for a relaxed structure of EuYMgIr.

Output
Spin magnetization, μB/cell: 27.41
Energy of formation from the pure elements, kJ/mol of formula units: -105

a b c (Å): 7.2123 7.2123 7.2123
angles (deg): 90.00 90.00 90.00
Closest atoms and distances in Å follow each position.
Space group F-43m (No. 216)
Asymmetric unit:
Eu 0.0000 0.0000 0.0000  4 Ir 3.12, 4 Mg 3.12
Y 0.0000 0.0000 0.5000  4 Mg 3.12, 4 Ir 3.12
Mg 0.2500 0.2500 0.2500  4 Eu 3.12, 4 Y 3.12
Ir 0.2500 0.2500 0.7500  4 Eu 3.12, 4 Y 3.12

(3)
## BeTePb2 (PBE)

Data for a relaxed structure of BeTePb2.

Output
Spin magnetization, μB/cell: 0.00
Formation energy without anion corrections, eV/atom: 0.468

a b c (Å): 3.9384 5.2710 5.2890
angles (deg): 90.00 90.00 90.00
Closest atoms and distances in Å follow each position.
Space group Pmmm (No. 47)
Asymmetric unit:
Be 0.0000 0.0000 0.0000  8 Pb 3.29-3.30
Te 0.0000 0.5000 0.5000  8 Pb 3.29-3.30
Pb 0.5000 0.0000 0.5000  4 Te 3.29, 4 Be 3.30
Pb 0.5000 0.5000 0.0000  4 Be 3.29, 4 Te 3.30

(4)
## BaZrTl2F8 (PBE)

Data for a relaxed structure of BaZrTl2F8.

Output
Spin magnetization, μB/cell: 0.00
Formation energy without anion corrections, eV/atom: -3.096

a b c (Å): 4.5023 8.1355 6.5529
angles (deg): 90.00 94.98 90.00
Closest atoms and distances in Å follow each position.
Space group P2/m (No. 10)
Asymmetric unit:
Ba 0.0000 0.0000 0.0000  8 F 2.64-2.82
Zr 0.0000 0.5000 0.0000  6 F 2.04-2.07
Tl 0.5000 0.2533 0.5000  6 F 2.69-2.92
F 0.0883 0.3047 0.8108  1 Zr 2.07
F 0.3934 0.5000 0.1785  1 Zr 2.04
F 0.4946 0.0000 0.7633  2 Ba 2.64-2.82, 2 Tl 2.69

(5)
## Li3HfB (PBE)

Data for a relaxed structure of Li3HfB.

Output
Spin magnetization, μB/cell: 0.00
Energy of formation from the pure elements, kJ/mol of formula units: 313

a b c (Å): 4.0952 4.0952 4.0952
angles (deg): 90.00 90.00 90.00
Closest atoms and distances in Å follow each position.
Space group Pm-3m (No. 221)
Asymmetric unit:
Li 0.0000 0.0000 0.5000  2 B 2.05
Hf 0.5000 0.5000 0.5000  12 Li 2.90
B 0.0000 0.0000 0.0000  6 Li 2.05

(6)
## LaBi3O (PBE)

Data for a relaxed structure of LaBi3O.

Output
Spin magnetization, μB/cell: 0.00
Formation energy without anion corrections, eV/atom: 1.054

a b c (Å): 6.1725 6.1725 6.1725
angles (deg): 90.00 90.00 90.00
Closest atoms and distances in Å follow each position.
Space group Pm-3m (No. 221)
Asymmetric unit:
La 0.0000 0.0000 0.0000  6 Bi 3.09
Bi 0.0000 0.0000 0.5000  2 La 3.09
O 0.5000 0.5000 0.5000  12 Bi 4.36

(7)
## La6P2S3Cl (PBE)

Data for a relaxed structure of La6P2S3Cl.

Output
Spin magnetization, μB/cell: 0.00
Formation energy without anion corrections, eV/atom: -1.927

a b c (Å): 18.2704 4.2001 8.4149
angles (deg): 90.00 103.10 90.00
Closest atoms and distances in Å follow each position.
Space group C2/m (No. 12)
Asymmetric unit:
La 0.0012 0.0000 0.2666  3 S 2.88-2.96, 1 P 2.92, 2 Cl 3.07
La 0.1684 0.5000 0.5811  3 P 2.97, 3 S 3.00
La 0.1723 0.5000 0.0896  3 S 2.89-2.98, 2 P 2.94, 1 Cl 3.07
P 0.1648 0.0000 0.3297  6 La 2.92-2.97
S 0.0000 0.5000 0.5000  6 La 2.88-3.00
S 0.1651 0.0000 0.8345  6 La 2.89-3.00
Cl 0.0000 0.5000 0.0000  6 La 3.07

(8)
## Ce2CdC (PBE)

Data for a relaxed structure of Ce2CdC.

Output
Spin magnetization, μB/cell: 0.00
Energy of formation from the pure elements, kJ/mol of formula units: -26

a b c (Å): 3.1326 3.1326 8.2020
angles (deg): 90.00 90.00 90.00
Closest atoms and distances in Å follow each position.
Space group P4/mmm (No. 123)
Asymmetric unit:
Ce 0.0000 0.0000 0.1721  4 C 2.63, 1 Ce 2.82
Cd 0.5000 0.5000 0.5000  4 Cd 3.13, 8 Ce 3.48
C 0.5000 0.5000 0.0000  8 Ce 2.63

no.,E_tot (eV for the cell shown)
1,-171.557
2,-113.134
3,-12.414
4,-67.325
5,-19.127
6,-16.258
7,-155.482
8,-22.273